(1)
A plane-wave DFT calculation with GGA-PBE was carried out for a geometry-optimized CrNiB structure.

Cell lengths 2.438, 4.208, 6.050 Å; angles 106.81, 90.25, 106.75 degrees
Fractional coordinates of all 6 atoms:
Ni 0.611 0.722 0.407
Ni 0.389 0.278 0.593
B 0.090 0.683 0.122
B 0.910 0.317 0.878
Cr 0.830 0.174 0.195
Cr 0.170 0.826 0.805

Results
The density of states at the Fermi level comes out at 2.12 states/eV/f.u. The uncorrected energy is -22.40 eV/f.u. As for the energy of formation from the pure elements: -0.105 eV per atom. As for the symmetry: P-1 (2). The total moment is 0.000 μB/atom.

(2)
A plane-wave DFT calculation with GGA-PBE was carried out for a geometry-optimized HoEr2Pb structure.

Cell lengths 5.443, 5.443, 5.443 Å; angles 60.00, 60.00, 60.00 degrees
Last column: magnetic moment on the atom in μB.
Fractional coordinates of all 4 atoms:
Ho 0.500 0.500 0.500  0.21
Er 0.000 0.000 0.000  0.21
Er 0.250 0.250 0.250  0.24
Pb 0.750 0.750 0.750  0.00

Results
The density of states at the Fermi level comes out at 6.15 states/eV/f.u. The uncorrected energy is -17.73 eV/f.u. The polymorph energy (0 for the lowest one) comes out at 198 meV/atom. As for the energy of formation from the pure elements: -0.079 eV per atom. As for the symmetry: F-43m (216). The total moment is 0.211 μB/atom.

(3)
A plane-wave DFT calculation with GGA-PBE was carried out for a geometry-optimized TbThOs4 structure.

Cell lengths 5.420, 5.420, 5.420 Å; angles 60.00, 60.00, 60.00 degrees
Fractional coordinates of all 6 atoms:
Tb 0.000 0.000 0.000
Os 0.625 0.625 0.124
Os 0.625 0.124 0.625
Os 0.625 0.625 0.625
Os 0.124 0.625 0.625
Th 0.250 0.250 0.250

Results
The density of states at the Fermi level comes out at 4.72 states/eV/f.u. The uncorrected energy is -58.46 eV/f.u. As for the energy of formation from the pure elements: -0.248 eV per atom. As for the symmetry: F-43m (216). The total moment is 0.000 μB/atom.

(4)
A plane-wave DFT calculation with GGA-PBE was carried out for a geometry-optimized Al2HgOs structure.

Cell lengths 2.976, 3.097, 7.762 Å; angles 84.10, 90.00, 90.00 degrees
Fractional coordinates of all 4 atoms:
Os 0.500 0.750 0.750
Hg 0.500 0.250 0.250
Al 0.000 0.203 0.934
Al 0.000 0.297 0.566

Results
The density of states at the Fermi level comes out at 1.11 states/eV/f.u. The uncorrected energy is -19.71 eV/f.u. As for the energy of formation from the pure elements: -0.174 eV per atom. As for the symmetry: P2/m (10). The total moment is 0.000 μB/atom.

(5)
A plane-wave DFT calculation with GGA-PBE was carried out for a geometry-optimized Th2ZnC structure.

Cell lengths 3.800, 3.936, 12.060 Å; angles 90.00, 81.01, 90.00 degrees
Fractional coordinates of all 8 atoms:
Th 0.649 0.483 0.213
Th 0.855 0.483 0.798
Th 0.047 0.983 0.418
Th 0.253 0.983 0.003
Zn 0.418 0.984 0.671
Zn 0.484 0.484 0.545
C 0.148 0.983 0.213
C 0.754 0.483 0.003

Results
The density of states at the Fermi level comes out at 3.12 states/eV/f.u. The uncorrected energy is -26.23 eV/f.u. As for the energy of formation from the pure elements: -0.224 eV per atom. As for the symmetry: P2_1/m (11). The total moment is 0.000 μB/atom.

(6)
A plane-wave DFT calculation with GGA-PBE was carried out for a geometry-optimized VSiSb3 structure.

Cell lengths 5.107, 5.107, 5.107 Å; angles 90.00, 90.00, 90.00 degrees
Last column: magnetic moment on the atom in μB.
Fractional coordinates of all 5 atoms:
Sb 0.000 0.500 0.000  -0.05
Sb 0.000 0.000 0.500  -0.05
Sb 0.500 0.000 0.000  -0.05
Si 0.500 0.500 0.500  0.17
V 0.000 0.000 0.000  0.81

Results
The density of states at the Fermi level comes out at 6.36 states/eV/f.u. The uncorrected energy is -23.60 eV/f.u. The polymorph energy (0 for the lowest one) comes out at 0 meV/atom. Its uncorrected formation energy is 0.66 eV/atom. As for the symmetry: Pm-3m (221). The total moment is 0.233 μB/atom.

(7)
A plane-wave DFT calculation with GGA-PBE was carried out for a geometry-optimized CdCoPb2 structure.

Cell lengths 4.834, 4.834, 9.582 Å; angles 75.39, 75.39, 90.00 degrees
Last column: magnetic moment on the atom in μB.
Fractional coordinates of all 8 atoms:
Pb 0.581 0.125 0.250  -0.01
Pb 0.169 0.625 0.250  -0.01
Pb 0.375 0.419 0.750  -0.02
Pb 0.875 0.831 0.750  -0.01
Co 0.500 0.500 0.000  1.43
Co 0.250 0.750 0.500  1.42
Cd 0.000 0.000 0.000  0.01
Cd 0.750 0.250 0.500  0.00

Results
The density of states at the Fermi level comes out at 3.60 states/eV/f.u. The uncorrected energy is -13.19 eV/f.u. As for the energy of formation from the pure elements: 0.563 eV per atom. As for the symmetry: I-42d (122). The total moment is 0.352 μB/atom.

(8)
A plane-wave DFT calculation with GGA-PBE was carried out for a geometry-optimized Ce2Mn2AlCo5 structure.

Cell lengths 3.869, 8.648, 8.648 Å; angles 90.00, 90.00, 90.00 degrees
Last column: magnetic moment on the atom in μB.
Fractional coordinates of all 20 atoms:
Ce 0.000 0.660 0.160  -0.26
Ce 0.000 0.340 0.840  -0.26
Ce 0.000 0.160 0.340  -0.26
Ce 0.000 0.840 0.660  -0.26
Mn 0.000 0.155 0.655  1.81
Mn 0.000 0.845 0.345  1.81
Mn 0.000 0.655 0.845  1.81
Mn 0.000 0.345 0.155  1.81
Al 0.000 0.000 0.000  -0.02
Al 0.000 0.500 0.500  -0.02
Co 0.500 0.188 0.070  1.28
Co 0.500 0.812 0.930  1.28
Co 0.500 0.070 0.812  1.28
Co 0.500 0.688 0.430  1.28
Co 0.500 0.930 0.188  1.28
Co 0.500 0.312 0.570  1.28
Co 0.500 0.570 0.688  1.28
Co 0.500 0.430 0.312  1.28
Co 0.500 0.500 0.000  0.58
Co 0.500 0.000 0.500  0.58

Results
The density of states at the Fermi level comes out at 10.26 states/eV/f.u. The uncorrected energy is -69.88 eV/f.u. As for the energy of formation from the pure elements: -0.040 eV per atom. As for the symmetry: P4/mbm (127). The total moment is 0.841 μB/atom.

(9)
A plane-wave DFT calculation with GGA-PBE was carried out for a geometry-optimized LiHf2S4 structure.

Cell lengths 7.306, 7.299, 7.299 Å; angles 60.29, 59.97, 59.97 degrees
Fractional coordinates of all 14 atoms:
Li 0.500 0.500 0.000
Li 0.000 0.500 0.000
Hf 0.000 0.000 0.000
Hf 0.000 0.000 0.500
Hf 0.000 0.500 0.500
Hf 0.500 0.000 0.500
S 0.250 0.247 0.253
S 0.750 0.247 0.253
S 0.250 0.753 0.747
S 0.750 0.753 0.747
S 0.753 0.752 0.252
S 0.756 0.248 0.748
S 0.244 0.752 0.252
S 0.247 0.248 0.748

Results
The density of states at the Fermi level comes out at 3.15 states/eV/f.u. The uncorrected energy is -49.21 eV/f.u. The polymorph energy (0 for the lowest one) comes out at 0 meV/atom. Its uncorrected formation energy is -1.55 eV/atom. As for the symmetry: Imma (74). The total moment is 0.000 μB/atom.

(10)
A plane-wave DFT calculation with GGA-PBE was carried out for a geometry-optimized MgZrTa4 structure.

Cell lengths 5.579, 5.579, 5.579 Å; angles 60.00, 60.00, 60.00 degrees
Fractional coordinates of all 6 atoms:
Mg 0.000 0.000 0.000
Zr 0.750 0.750 0.750
Ta 0.870 0.377 0.377
Ta 0.377 0.377 0.870
Ta 0.377 0.870 0.377
Ta 0.377 0.377 0.377

Results
The density of states at the Fermi level comes out at 7.07 states/eV/f.u. The uncorrected energy is -56.01 eV/f.u. As for the energy of formation from the pure elements: 0.257 eV per atom. As for the symmetry: F-43m (216). The total moment is 0.000 μB/atom.

(11)
A plane-wave DFT calculation with GGA-PBE was carried out for a geometry-optimized Ag2Sn2Sb structure.

Cell lengths 7.615, 7.615, 4.170 Å; angles 90.00, 90.00, 90.00 degrees
Fractional coordinates of all 10 atoms:
Sb 0.000 0.000 0.000
Sb 0.500 0.500 0.000
Sn 0.169 0.669 0.500
Sn 0.669 0.831 0.500
Sn 0.831 0.331 0.500
Sn 0.331 0.169 0.500
Ag 0.370 0.870 0.000
Ag 0.870 0.630 0.000
Ag 0.630 0.130 0.000
Ag 0.130 0.370 0.000

Results
The density of states at the Fermi level comes out at 1.59 states/eV/f.u. The uncorrected energy is -17.34 eV/f.u. The polymorph energy (0 for the lowest one) comes out at 0 meV/atom. Its uncorrected formation energy is 0.10 eV/atom. As for the symmetry: P4/mbm (127). The total moment is 0.000 μB/atom.

(12)
A plane-wave DFT calculation with GGA-PBE was carried out for a geometry-optimized ZnCuCl2 structure.

Cell lengths 4.733, 4.733, 4.733 Å; angles 60.00, 60.00, 60.00 degrees
Fractional coordinates of all 4 atoms:
Zn 0.750 0.750 0.750
Cu 0.500 0.500 0.500
Cl 0.000 0.000 0.000
Cl 0.250 0.250 0.250

Results
The density of states at the Fermi level comes out at 3.32 states/eV/f.u. The uncorrected energy is -7.95 eV/f.u. The polymorph energy (0 for the lowest one) comes out at 715 meV/atom. Its uncorrected formation energy is 0.28 eV/atom. As for the symmetry: F-43m (216). The total moment is 0.000 μB/atom.

(13)
A plane-wave DFT calculation with GGA-PBE was carried out for a geometry-optimized RbGaI4 structure.

Cell lengths 7.501, 7.428, 7.428 Å; angles 104.77, 120.33, 59.67 degrees
Fractional coordinates of all 6 atoms:
Rb 0.750 0.500 0.500
Ga 0.500 0.000 0.000
I 0.437 0.067 0.328
I 0.176 0.933 0.672
I 0.496 0.328 0.933
I 0.891 0.672 0.067

Results
The density of states at the Fermi level comes out at 0.00 states/eV/f.u. The uncorrected energy is -15.39 eV/f.u. The polymorph energy (0 for the lowest one) comes out at 3 meV/atom. Its uncorrected formation energy is -0.87 eV/atom. As for the symmetry: I-4 (82). The total moment is 0.000 μB/atom.

(14)
A plane-wave DFT calculation with GGA-PBE was carried out for a geometry-optimized Tb4DyAl2 structure.

Cell lengths 10.371, 6.809, 6.014 Å; angles 110.61, 90.00, 90.00 degrees
Fractional coordinates of all 14 atoms:
Tb 0.841 0.499 0.006
Tb 0.709 0.502 0.506
Tb 0.791 0.002 0.506
Tb 0.659 0.999 0.006
Tb 0.341 0.001 0.994
Tb 0.209 0.998 0.494
Tb 0.291 0.498 0.494
Tb 0.159 0.501 0.994
Al 0.001 0.683 0.485
Al 0.999 0.317 0.515
Al 0.501 0.817 0.515
Al 0.499 0.183 0.485
Dy 0.000 0.000 0.000
Dy 0.500 0.500 0.000

Results
The density of states at the Fermi level comes out at 6.89 states/eV/f.u. The uncorrected energy is -31.18 eV/f.u. The polymorph energy (0 for the lowest one) comes out at 0 meV/atom. As for the energy of formation from the pure elements: -0.081 eV per atom. As for the symmetry: P2_1/c (14). The total moment is 0.000 μB/atom.

(15)
A plane-wave DFT calculation with GGA-PBE was carried out for a geometry-optimized CeYTmMg structure.

Cell lengths 5.488, 5.488, 5.488 Å; angles 60.00, 60.00, 60.00 degrees
Last column: magnetic moment on the atom in μB.
Fractional coordinates of all 4 atoms:
Y 0.750 0.750 0.750  0.10
Mg 0.000 0.000 0.000  -0.01
Tm 0.500 0.500 0.500  0.23
Ce 0.250 0.250 0.250  0.80

Results
The density of states at the Fermi level comes out at 7.16 states/eV/f.u. The uncorrected energy is -18.16 eV/f.u. As for the energy of formation from the pure elements: 0.075 eV per atom. As for the symmetry: F-43m (216). The total moment is 0.348 μB/atom.

(16)
A plane-wave DFT calculation with GGA-PBE was carried out for a geometry-optimized Zr3Cd2 structure.

Cell lengths 9.064, 7.907, 6.015 Å; angles 79.98, 59.21, 40.81 degrees
Fractional coordinates of all 10 atoms:
Zr 0.459 0.738 0.440
Zr 0.363 0.440 0.738
Zr 0.512 0.791 0.887
Zr 0.810 0.887 0.791
Zr 0.929 0.071 0.071
Zr 0.179 0.321 0.321
Cd 0.894 0.203 0.548
Cd 0.354 0.548 0.203
Cd 0.047 0.356 0.896
Cd 0.702 0.896 0.356

Results
The density of states at the Fermi level comes out at 4.58 states/eV/f.u. The uncorrected energy is -27.46 eV/f.u. The polymorph energy (0 for the lowest one) comes out at 115 meV/atom. As for the energy of formation from the pure elements: 0.003 eV per atom. As for the symmetry: Fdd2 (43). The total moment is 0.000 μB/atom.

(17)
A plane-wave DFT calculation with GGA-PBE was carried out for a geometry-optimized Li2AcCd6 structure.

Cell lengths 8.864, 8.864, 8.864 Å; angles 60.00, 60.00, 60.00 degrees
Fractional coordinates of all 18 atoms:
Li 0.125 0.125 0.125
Li 0.125 0.625 0.125
Li 0.125 0.125 0.625
Li 0.625 0.125 0.125
Ac 0.500 0.500 0.500
Ac 0.750 0.750 0.750
Cd 0.234 0.234 0.766
Cd 0.766 0.766 0.234
Cd 0.234 0.766 0.234
Cd 0.234 0.766 0.766
Cd 0.484 0.484 0.016
Cd 0.484 0.016 0.016
Cd 0.766 0.234 0.766
Cd 0.016 0.016 0.484
Cd 0.484 0.016 0.484
Cd 0.016 0.484 0.484
Cd 0.766 0.234 0.234
Cd 0.016 0.484 0.016

Results
The density of states at the Fermi level comes out at 4.47 states/eV/f.u. The uncorrected energy is -12.39 eV/f.u. As for the energy of formation from the pure elements: 0.115 eV per atom. As for the symmetry: Fd-3m (227). The total moment is 0.000 μB/atom.

(18)
A plane-wave DFT calculation with GGA-PBE was carried out for a geometry-optimized Ce2Ga7Cu structure.

Cell lengths 4.300, 4.300, 10.494 Å; angles 90.00, 90.00, 90.00 degrees
Last column: magnetic moment on the atom in μB.
Fractional coordinates of all 10 atoms:
Ce 0.500 0.000 0.755  0.79
Ce 0.000 0.500 0.245  0.79
Ga 0.000 0.500 0.874  0.00
Ga 0.500 0.000 0.361  0.00
Ga 0.500 0.000 0.126  0.00
Ga 0.000 0.500 0.639  0.00
Ga 0.000 0.000 0.500  0.00
Ga 0.000 0.000 0.000  -0.01
Ga 0.500 0.500 0.500  0.00
Cu 0.500 0.500 0.000  0.00

Results
The density of states at the Fermi level comes out at 15.53 states/eV/f.u. The uncorrected energy is -41.41 eV/f.u. As for the energy of formation from the pure elements: -0.426 eV per atom. As for the symmetry: P-4m2 (115). The total moment is 0.185 μB/atom.

(19)
A plane-wave DFT calculation with GGA-PBE was carried out for a geometry-optimized Rb4CeU3Te8 structure.

Cell lengths 9.143, 10.106, 9.143 Å; angles 116.89, 120.00, 90.00 degrees
Last column: magnetic moment on the atom in μB.
Fractional coordinates of all 16 atoms:
Rb 0.500 0.000 0.000  0.00
Rb 0.500 0.000 0.500  0.00
Rb 0.000 0.000 0.000  0.00
Rb 0.000 0.000 0.500  0.00
Ce 0.000 0.500 0.000  1.05
U 0.500 0.500 0.000  2.77
U 0.500 0.500 0.500  2.77
U 0.000 0.500 0.500  2.77
Te 0.237 0.704 0.967  -0.05
Te 0.237 0.704 0.474  -0.05
Te 0.266 0.299 0.533  -0.06
Te 0.730 0.704 0.967  -0.05
Te 0.270 0.296 0.033  -0.05
Te 0.734 0.701 0.467  -0.06
Te 0.763 0.296 0.526  -0.05
Te 0.763 0.296 0.033  -0.05

Results
The density of states at the Fermi level comes out at 30.46 states/eV/f.u. The uncorrected energy is -84.13 eV/f.u. Its uncorrected formation energy is -0.96 eV/atom. As for the symmetry: R-3m (166). The total moment is 0.625 μB/atom.

(20)
A plane-wave DFT calculation with GGA-PBE was carried out for a geometry-optimized NaMn2N3 structure.

Cell lengths 3.170, 6.140, 8.553 Å; angles 108.47, 100.68, 90.00 degrees
Last column: magnetic moment on the atom in μB.
Fractional coordinates of all 12 atoms:
Na 0.632 0.486 0.264  0.00
Na 0.368 0.514 0.736  0.00
Mn 0.698 0.023 0.397  0.35
Mn 0.302 0.977 0.603  0.35
Mn 0.058 0.936 0.116  -0.14
Mn 0.942 0.064 0.884  -0.14
N 0.762 0.822 0.524  0.00
N 0.946 0.785 0.892  0.02
N 0.590 0.844 0.180  0.00
N 0.238 0.178 0.476  0.00
N 0.410 0.156 0.820  0.00
N 0.054 0.215 0.108  0.02

Results
The density of states at the Fermi level comes out at 1.59 states/eV/f.u. The uncorrected energy is -45.91 eV/f.u. Its uncorrected formation energy is -0.21 eV/atom. As for the symmetry: C2/m (12). The total moment is 0.043 μB/atom.